[1]
Here is a geometry-optimized Al2Ga2Pd5 structure from the Alexandria database. Energies are from PBE.

Results
DFT formation energy: -12.53 kcal/mol of atoms
ρ: 8.4 g/cm³
Density of states at the Fermi level: 12.27 states/eV per cell

Cell and atoms, written as CIF:
```
data_Al2Ga2Pd5
_cell_length_a 13.0307
_cell_length_b 8.3380
_cell_length_c 5.2920
_cell_angle_alpha 90.00
_cell_angle_beta 90.00
_cell_angle_gamma 90.00
_space_group_name_H-M_alt 'I m a 2'
_space_group_IT_number 46
_space_group_name_Hall 'I 2 -2a'
loop_
_atom_site_label
_atom_site_fract_x
_atom_site_fract_y
_atom_site_fract_z
_atom_site_occupancy
Al1 0.1004 0.0556 0.0000 1
Ga1 0.0000 0.0000 0.5021 1
Ga2 0.2500 0.5789 0.8528 1
Pd1 0.0590 0.7159 0.6911 1
Pd2 0.1499 0.1648 0.5701 1
Pd3 0.2500 0.6165 0.3495 1
```



[2]
Here is a geometry-optimized AcLa6Cd2 structure from the Alexandria database. Energies are from PBE.

Results
Offset from the most stable computed form: 92 meV per atom
DFT formation energy: -1.11 kcal/mol of atoms
ρ: 6.6 g/cm³
Density of states at the Fermi level: 16.43 states/eV per cell

Cell and atoms, written as CIF:
```
data_AcLa6Cd2
_cell_length_a 5.1842
_cell_length_b 5.1842
_cell_length_c 11.9825
_cell_angle_alpha 90.00
_cell_angle_beta 90.00
_cell_angle_gamma 90.00
_space_group_name_H-M_alt 'P 4/m m m'
_space_group_IT_number 123
_space_group_name_Hall '-P 4 2'
loop_
_atom_site_label
_atom_site_fract_x
_atom_site_fract_y
_atom_site_fract_z
_atom_site_occupancy
Ac1 0.0000 0.0000 0.0000 1
La1 0.0000 0.0000 0.5000 1
La2 0.0000 0.5000 0.2817 1
La3 0.5000 0.5000 0.5000 1
Cd1 0.5000 0.5000 0.1132 1
```